Computed, not measured: a geometry-optimized AlMoBr structure at the GGA-PBEsol level of DFT.

Values from the calculation:
Its raw formation energy is 221 meV per atom. The total magnetization comes out at 0.00 μB/cell. The density of states at the Fermi level is 2.57 states/eV per cell. The value obtained for the energy above the most stable polymorph in this dataset is 0 meV per atom.

abc: 3.1309 3.1309 6.1505
angles: 90.00 90.00 120.00
Closest atoms and distances in Å follow each position.
Fractional coordinates of all 3 atoms:
Al: 0.0000 0.0000 0.0241  3 Mo 2.63
Br: 0.6667 0.3333 0.6415  3 Mo 2.61
Mo: 0.3333 0.6667 0.3344  3 Br 2.61, 3 Al 2.63